No. 1
Compound: Th5In2Os
Source: Alexandria via LeMat-Bulk
Functional: GGA-PBE
Structure: relaxed

## Properties
The value obtained for the formation energy is 213 meV per atom. Its space-group type is Cmcm (63).

Lattice parameters (Å, degrees): 5.6123 8.1243 12.9876 90.00 90.00 110.21
Element x y z (fractional)
Th: 0.0789 0.1578 0.4057
Th: 0.3263 0.6526 0.7500
Th: 0.6963 0.3926 0.5409
Th: 0.0789 0.1578 0.0943
Th: 0.6737 0.3474 0.2500
Th: 0.9211 0.8422 0.5943
Th: 0.9211 0.8422 0.9057
Th: 0.3037 0.6074 0.4591
Th: 0.6963 0.3926 0.9591
Th: 0.3037 0.6074 0.0409
In: 0.1313 0.2626 0.6418
In: 0.8687 0.7374 0.3582
In: 0.1313 0.2626 0.8582
In: 0.8687 0.7374 0.1418
Os: 0.2029 0.4057 0.2500
Os: 0.7971 0.5943 0.7500

---

No. 2
Compound: Th7In2Os2
Source: Alexandria via LeMat-Bulk
Functional: GGA-PBE
Structure: relaxed

## Properties
The value obtained for the formation energy is -126 meV per atom. Its space-group type is Cmmm (65).

Lattice parameters (Å, degrees): 7.0400 7.0718 7.0400 90.02 105.91 89.98
Element x y z (fractional)
In: 0.8339 0.5000 0.8339
In: 0.1661 0.5000 0.1661
Os: 0.7222 0.0000 0.2778
Os: 0.2778 0.0000 0.7222
Th: 0.5003 0.7420 0.9998
Th: 0.5002 0.7535 0.4998
Th: 0.9998 0.2580 0.5003
Th: 0.4998 0.2465 0.5002
Th: 0.0002 0.7420 0.4997
Th: 0.4997 0.2580 0.0002
Th: 0.0000 0.0000 0.0000

---

No. 3
Compound: Th2InOs
Source: Alexandria via LeMat-Bulk
Functional: GGA-PBE
Structure: relaxed

## Properties
The value obtained for the formation energy is -272 meV per atom. Its space-group type is P4/mmm (123).

Lattice parameters (Å, degrees): 3.3771 3.3771 8.9836 90.00 90.00 90.00
Element x y z (fractional)
Os: 0.5000 0.5000 0.0000
Th: 0.0000 0.0000 0.2099
Th: 0.0000 0.0000 0.7901
In: 0.5000 0.5000 0.5000